No. 1
Material: Ac2PaAgSe5
Method: DFT, GGA-PBE
State: relaxed

## Properties
- SG: Cmc2_1 (36)
- E_form (uncorrected): -1484 meV per atom
- VASP energy: -0.210 hartree per atom

Lattice parameters (Å, degrees): 9.2863 9.2863 12.8945 90.00 90.00 153.40
Positions (direct):
Ac1 0.1143 0.8857 0.5000
Ac2 0.1257 0.8743 0.1201
Ac3 0.8743 0.1257 0.6201
Ac4 0.8857 0.1143 0.0000
Pa1 0.1952 0.8048 0.8195
Pa2 0.8048 0.1952 0.3195
Ag1 0.4474 0.5526 0.2569
Ag2 0.5526 0.4474 0.7569
Se1 0.0454 0.9546 0.8723
Se2 0.2923 0.7077 0.4740
Se3 0.3060 0.6940 0.1622
Se4 0.3559 0.6441 0.8132
Se5 0.4956 0.5044 0.5722
Se6 0.5044 0.4956 0.0722
Se7 0.6441 0.3559 0.3132
Se8 0.6940 0.3060 0.6622
Se9 0.7077 0.2923 0.9740
Se10 0.9546 0.0454 0.3723

=====

No. 2
Material: YSc2CdHg4
Method: DFT, GGA-PBE
State: relaxed

## Properties
- SG: R-3m (166)
- VASP energy: -0.111 hartree per atom

Lattice parameters (Å, degrees): 8.9037 8.9037 8.9037 32.73 32.73 32.73
Positions (direct):
Y1 0.0000 0.0000 0.0000
Sc1 0.2440 0.2440 0.2440
Sc2 0.7560 0.7560 0.7560
Cd1 0.5000 0.5000 0.5000
Hg1 0.1236 0.1236 0.1236
Hg2 0.3740 0.3740 0.3740
Hg3 0.6260 0.6260 0.6260
Hg4 0.8764 0.8764 0.8764

=====

No. 3
Material: In3Ir
Method: DFT, GGA-PBE
State: relaxed

## Properties
- SG: R-3m (166)
- VASP energy: -0.146 hartree per atom

Lattice parameters (Å, degrees): 5.4967 5.4967 5.4967 115.91 115.91 115.91
Positions (direct):
In1 0.0000 0.5000 0.5000
In2 0.5000 0.0000 0.5000
In3 0.5000 0.5000 0.0000
Ir1 0.0000 0.0000 0.0000